Entry 1:
# PBE RbErBeO3, optimized geometry
data_RbErBeO3
_chemical_formula_sum 'Rb2 Er2 Be2 O6'
_cell_length_a 7.7039
_cell_length_b 3.3676
_cell_length_c 7.8766
_cell_angle_alpha 90.00
_cell_angle_beta 109.80
_cell_angle_gamma 90.00
_space_group_name_H-M_alt 'P 1 21/m 1'
_space_group_IT_number 11
loop_
_space_group_symop_operation_xyz
'x,y,z'
'-x,-y,-z'
'-x,y+1/2,-z'
'x,-y+1/2,z'
loop_
_atom_site_label
_atom_site_type_symbol
_atom_site_fract_x
_atom_site_fract_y
_atom_site_fract_z
Rb1 Rb 0.2304 0.2500 0.2019
Er1 Er 0.1603 0.2500 0.6623
Be1 Be 0.3948 0.7500 0.9354
O1 O 0.1455 0.7500 0.4694
O2 O 0.1797 0.7500 0.8616
O3 O 0.4622 0.2500 0.8648
# Spin magnetization ... 0.0 μB/f.u.
# Formation energy (no corrections) ... -61.78 kcal/mol of atoms
# Total DFT energy (no corrections) ... -6.701 eV per atom


Entry 2:
# PBE Nd3SI7, optimized geometry
data_Nd3SI7
_chemical_formula_sum 'Nd3 S1 I7'
_cell_length_a 8.9475
_cell_length_b 8.9475
_cell_length_c 7.6843
_cell_angle_alpha 90.00
_cell_angle_beta 90.00
_cell_angle_gamma 120.00
_space_group_name_H-M_alt 'P 3 m 1'
_space_group_IT_number 156
loop_
_space_group_symop_operation_xyz
'x,y,z'
'-y,x-y,z'
'-x+y,-x,z'
'-y,-x,z'
'-x+y,y,z'
'x,x-y,z'
loop_
_atom_site_label
_atom_site_type_symbol
_atom_site_fract_x
_atom_site_fract_y
_atom_site_fract_z
Nd1 Nd 0.0184 0.5092 0.0000
S1 S 0.3333 0.6667 0.1597
I1 I 0.1670 0.3341 0.7542
I2 I 0.3393 0.1696 0.2243
I3 I 0.6667 0.3333 0.7564
# Spin magnetization ... 0.0 μB/f.u.
# Formation energy (no corrections) ... -34.43 kcal/mol of atoms
# Total DFT energy (no corrections) ... -4.155 eV per atom